# 1
The following is a PBE-GGA calculation of an optimized crystal structure of La2GaH6Ru, from Alexandria via LeMat-Bulk.

Output
space group: No. 166
E_tot: -4.68 eV/atom

```
20
Lattice="4.8337 0.0000 0.0000 2.4169 4.1861 0.0000 2.4169 1.3954 13.1555" Properties=species:S:1:pos:R:3 pbc="T T T"
H 4.8337 4.1591 12.1891
H 6.0806 2.0709 5.6349
H 4.8337 1.3510 7.5206
H 6.0188 3.4749 0.9665
H 4.8337 4.2305 5.6349
H 3.6487 3.4749 0.9665
H 6.0806 3.5106 7.5206
H 3.6486 2.1065 12.1891
H 6.0188 2.1065 12.1891
H 3.5868 2.0709 5.6349
H 3.5868 3.5106 7.5206
H 4.8337 1.4224 0.9665
Ru 0.0000 0.0000 0.0000
Ru 4.8337 2.7907 6.5778
La 2.4168 1.3954 1.5333
La 2.4168 1.3954 8.0953
La 7.2506 4.1861 5.0602
La 7.2506 4.1861 11.6222
Ga 4.8337 2.7907 3.4342
Ga 4.8337 2.7907 9.7213
```

---

# 2
The following is a PBE-GGA calculation of an optimized crystal structure of BeNi, from Alexandria via LeMat-Bulk.

Output
space group: No. 141
E_tot: -5.04 eV/atom
formation energy: -0.6 eV per formula unit

```
4
Lattice="4.2993 0.0149 0.0000 1.9387 3.8374 0.0000 -3.1190 -1.9261 2.2463" Properties=species:S:1:pos:R:3 pbc="T T T"
Ni 2.1496 0.0074 1.1232
Ni 3.1190 1.9261 0.0000
Be 0.0000 0.0000 0.0000
Be 0.9694 1.9187 1.1232
```

---

# 3
The following is a PBE-GGA calculation of an optimized crystal structure of Ac2Mg4Cd3Ag, from Alexandria via LeMat-Bulk.

Output
space group: No. 115
E_tot: -2.21 eV/atom
formation energy: -1.9 eV per formula unit

```
10
Lattice="4.8047 0.0000 0.0000 0.0000 4.8047 0.0000 0.0000 0.0000 11.7407" Properties=species:S:1:pos:R:3 pbc="T T T"
Cd 0.0000 2.4024 1.6481
Cd 2.4024 0.0000 10.0926
Cd 0.0000 0.0000 5.8704
Ag 2.4024 2.4024 5.8704
Ac 2.4024 0.0000 3.0523
Ac 0.0000 2.4024 8.6884
Mg 2.4024 0.0000 7.3064
Mg 2.4024 2.4024 0.0000
Mg 0.0000 2.4024 4.4343
Mg 0.0000 0.0000 0.0000
```

---

Q: Which of these has the lowest E_tot?
A: BeNi

---

Q: Look up the E_tot of the third one.
A: -2.21 eV/atom